The following is a DFT calculation (PBE) of crystalline Tm5ScTe6 at its relaxed geometry.

Values from the calculation:
VASP energy, eV per atom: -5.12
M_tot, μB/f.u.: 0.0
Calculated volume, Å³/f.u.: 332.7

Unit cell a=7.412 b=12.863 c=7.407 alpha=90.00 beta=109.56 gamma=90.00
Space group C2/m (No. 12)
Unique sites:
Tm 0.000 0.000 0.000 x2
Tm 0.000 0.165 0.500 x4
Tm 0.000 0.327 0.000 x4
Sc 0.000 0.500 0.500 x2
Te 0.242 0.500 0.248 x4
Te 0.244 0.337 0.744 x8

***

The following is a DFT calculation (PBE) of crystalline Cr2BAs at its relaxed geometry.

Values from the calculation:
Formation energy from the elements, meV per atom: 390
M_tot, μB/f.u.: 1.3
Energy above the most stable polymorph in this dataset, eV/f.u.: 0.39
Calculated volume, Å³/f.u.: 44.2

Unit cell a=5.614 b=5.614 c=5.614 alpha=90.00 beta=90.00 gamma=90.00
Space group Fm-3m (No. 225)
Unique sites:
Cr 0.250 0.250 0.250 x8
B 0.000 0.000 0.000 x4
As 0.000 0.000 0.500 x4

***

The following is a DFT calculation (PBE) of crystalline MnSbI2N at its relaxed geometry.

Values from the calculation:
M_tot, μB/f.u.: 0.0
Energy above the most stable polymorph in this dataset, eV/f.u.: 6.37
Calculated volume, Å³/f.u.: 129.3

Unit cell a=5.112 b=5.112 c=4.948 alpha=90.00 beta=90.00 gamma=90.00
Space group P4/mmm (No. 123)
Unique sites:
Mn 0.000 0.000 0.000 x1
Sb 0.000 0.000 0.500 x1
I 0.000 0.500 0.000 x2
N 0.500 0.500 0.500 x1

***

The following is a DFT calculation (PBE) of crystalline CsBi4Te6 at its relaxed geometry.

Values from the calculation:
M_tot, μB/f.u.: 0.0
Energy above the most stable polymorph in this dataset, eV/f.u.: 0.00
Calculated volume, Å³/f.u.: 424.2

Unit cell a=4.462 b=14.760 c=26.304 alpha=79.38 beta=85.27 gamma=89.95
Space group P1 (No. 1)
Unique sites:
Cs 0.000 0.000 0.000 x1
Cs 0.109 0.034 0.780 x1
Cs 0.366 0.002 0.264 x1
Cs 0.742 0.033 0.516 x1
Bi 0.010 0.378 0.972 x1
Bi 0.038 0.719 0.922 x1
Bi 0.069 0.316 0.858 x1
Bi 0.097 0.657 0.808 x1
Bi 0.186 0.274 0.616 x1
Bi 0.215 0.611 0.563 x1
Bi 0.315 0.260 0.361 x1
Bi 0.340 0.603 0.316 x1
Bi 0.436 0.235 0.120 x1
Bi 0.463 0.572 0.071 x1
Bi 0.644 0.463 0.710 x1
Bi 0.671 0.799 0.661 x1
Bi 0.766 0.432 0.464 x1
Bi 0.792 0.775 0.419 x1
Bi 0.891 0.424 0.217 x1
Bi 0.921 0.761 0.165 x1
Te 0.135 0.314 0.727 x1
Te 0.158 0.624 0.679 x1
Te 0.178 0.940 0.643 x1
Te 0.254 0.282 0.485 x1
Te 0.277 0.595 0.440 x1
Te 0.294 0.915 0.411 x1
Te 0.377 0.277 0.242 x1
Te 0.399 0.586 0.199 x1
Te 0.432 0.899 0.138 x1
Te 0.491 0.235 0.005 x1
Te 0.516 0.548 0.958 x1
Te 0.544 0.862 0.908 x1
Te 0.563 0.172 0.873 x1
Te 0.591 0.487 0.823 x1
Te 0.616 0.800 0.775 x1
Te 0.675 0.136 0.643 x1
Te 0.708 0.449 0.582 x1
Te 0.730 0.758 0.539 x1
Te 0.812 0.120 0.370 x1
Te 0.830 0.440 0.341 x1
Te 0.853 0.753 0.296 x1
Te 0.929 0.095 0.137 x1
Te 0.949 0.411 0.101 x1
Te 0.972 0.721 0.053 x1

***

The following is a DFT calculation (PBE) of crystalline SiAuCl2 at its relaxed geometry.

Values from the calculation:
M_tot, μB/f.u.: 0.0
Energy above the most stable polymorph in this dataset, eV/f.u.: 2.18
Calculated volume, Å³/f.u.: 85.5

Unit cell a=3.3392 b=3.3392 c=26.5570 alpha=90.00 beta=90.00 gamma=120.00
Space group R-3m (No. 166, hexagonal axes)
Unique sites:
Si 0.0000 0.0000 0.0000 x3
Au 0.0000 0.0000 0.5000 x3
Cl 0.0000 0.0000 0.4113 x6

***

The following is a DFT calculation (PBE) of crystalline Sr2Cd4Hg5 at its relaxed geometry.

Values from the calculation:
Formation energy from the elements, meV per atom: -213
M_tot, μB/f.u.: 0.0
Calculated volume, Å³/f.u.: 301.1

Unit cell a=13.829 b=6.264 c=9.766 alpha=90.00 beta=134.63 gamma=90.00
Space group C2/m (No. 12)
Unique sites:
Sr 0.001 0.000 0.223 x4
Cd 0.162 0.500 0.407 x4
Cd 0.164 0.500 0.918 x4
Hg 0.000 0.500 0.000 x2
Hg 0.172 0.243 0.672 x8

***

The following is a DFT calculation (PBE) of crystalline ReOF3 at its relaxed geometry.

Values from the calculation:
M_tot, μB/f.u.: 0.0
Energy above the most stable polymorph in this dataset, eV/f.u.: 7.17
Calculated volume, Å³/f.u.: 62.0

Unit cell a=3.957 b=3.957 c=3.957 alpha=90.00 beta=90.00 gamma=90.00
Space group Pm-3m (No. 221)
Unique sites:
Re 0.000 0.000 0.000 x1
O 0.500 0.500 0.500 x1
F 0.000 0.000 0.500 x3

***

The following is a DFT calculation (PBE) of crystalline P2PtSO at its relaxed geometry.

Values from the calculation:
M_tot, μB/f.u.: 0.8
Energy above the most stable polymorph in this dataset, eV/f.u.: 1.08
Calculated volume, Å³/f.u.: 86.9

Unit cell a=4.783 b=4.783 c=3.800 alpha=90.00 beta=90.00 gamma=90.00
Space group P4/mmm (No. 123)
Unique sites:
P 0.000 0.500 0.000 x2
Pt 0.000 0.000 0.000 x1
S 0.500 0.500 0.500 x1
O 0.000 0.000 0.500 x1

***

Q: What is the M_tot in the third record?
A: 0.0 μB/f.u.

***

Q: What is the formula in the fifth record?
A: SiAuCl2

***

What did the fourth record say?
The following is a DFT calculation (PBE) of crystalline CsBi4Te6 at its relaxed geometry.

Values from the calculation:
M_tot, μB/f.u.: 0.0
Energy above the most stable polymorph in this dataset, eV/f.u.: 0.00
Calculated volume, Å³/f.u.: 424.2

Unit cell a=4.462 b=14.760 c=26.304 alpha=79.38 beta=85.27 gamma=89.95
Space group P1 (No. 1)
Unique sites:
Cs 0.000 0.000 0.000 x1
Cs 0.109 0.034 0.780 x1
Cs 0.366 0.002 0.264 x1
Cs 0.742 0.033 0.516 x1
Bi 0.010 0.378 0.972 x1
Bi 0.038 0.719 0.922 x1
Bi 0.069 0.316 0.858 x1
Bi 0.097 0.657 0.808 x1
Bi 0.186 0.274 0.616 x1
Bi 0.215 0.611 0.563 x1
Bi 0.315 0.260 0.361 x1
Bi 0.340 0.603 0.316 x1
Bi 0.436 0.235 0.120 x1
Bi 0.463 0.572 0.071 x1
Bi 0.644 0.463 0.710 x1
Bi 0.671 0.799 0.661 x1
Bi 0.766 0.432 0.464 x1
Bi 0.792 0.775 0.419 x1
Bi 0.891 0.424 0.217 x1
Bi 0.921 0.761 0.165 x1
Te 0.135 0.314 0.727 x1
Te 0.158 0.624 0.679 x1
Te 0.178 0.940 0.643 x1
Te 0.254 0.282 0.485 x1
Te 0.277 0.595 0.440 x1
Te 0.294 0.915 0.411 x1
Te 0.377 0.277 0.242 x1
Te 0.399 0.586 0.199 x1
Te 0.432 0.899 0.138 x1
Te 0.491 0.235 0.005 x1
Te 0.516 0.548 0.958 x1
Te 0.544 0.862 0.908 x1
Te 0.563 0.172 0.873 x1
Te 0.591 0.487 0.823 x1
Te 0.616 0.800 0.775 x1
Te 0.675 0.136 0.643 x1
Te 0.708 0.449 0.582 x1
Te 0.730 0.758 0.539 x1
Te 0.812 0.120 0.370 x1
Te 0.830 0.440 0.341 x1
Te 0.853 0.753 0.296 x1
Te 0.929 0.095 0.137 x1
Te 0.949 0.411 0.101 x1
Te 0.972 0.721 0.053 x1

***

Q: Among the records above, which one has the lowest calculated volume?
A: Cr2BAs